1.
This record from the Alexandria database describes a geometry-optimized Nd2Ge3Pt structure. The functional is PBE.

a = 8.5293 Å, b = 8.5310 Å, c = 14.8043 Å
α = 90.00°, β = 90.00°, γ = 90.00°
With the nearest neighbours (Å) after each atom.
Space group Fmmm (No. 69)
Unique sites:
1 Nd 0.0000 0.2473 0.0000 (multiplicity 8)  10 Ge 3.26, 2 Pt 3.28
2 Nd 0.2500 0.2500 0.2500 (multiplicity 8)  8 Ge 3.25-3.26, 4 Pt 3.26
3 Ge 0.0000 0.0000 0.1682 (multiplicity 8)  1 Pt 2.44, 2 Ge 2.49
4 Ge 0.2478 0.0000 0.4161 (multiplicity 16)  1 Pt 2.44, 2 Ge 2.48-2.49
5 Pt 0.0000 0.0000 0.3333 (multiplicity 8)  3 Ge 2.44

Output
Energy of formation from the pure elements   -0.91 eV per atom


2.
This record from the Alexandria database describes a geometry-optimized BaSi3Os structure. The functional is PBE.

a = 5.2418 Å, b = 5.2418 Å, c = 5.2418 Å
α = 90.00°, β = 90.00°, γ = 90.00°
With the nearest neighbours (Å) after each atom.
Space group Pm-3m (No. 221)
Unique sites:
1 Ba 0.0000 0.0000 0.0000 (multiplicity 1)  6 Si 2.62
2 Si 0.0000 0.0000 0.5000 (multiplicity 3)  2 Ba 2.62
3 Os 0.5000 0.5000 0.5000 (multiplicity 1)  12 Si 3.71

Output
Uncorrected formation energy   14.9 eV per formula unit


3.
This record from the Alexandria database describes a geometry-optimized TbTlAgSn structure. The functional is PBE.

a = 7.3423 Å, b = 7.3423 Å, c = 7.3423 Å
α = 90.00°, β = 90.00°, γ = 90.00°
With the nearest neighbours (Å) after each atom.
Space group F-43m (No. 216)
Unique sites:
1 Tb 0.0000 0.0000 0.0000 (multiplicity 4)  4 Tl 3.18, 4 Sn 3.18
2 Tl 0.2500 0.2500 0.2500 (multiplicity 4)  4 Ag 3.18, 4 Tb 3.18
3 Ag 0.0000 0.0000 0.5000 (multiplicity 4)  4 Tl 3.18, 4 Sn 3.18
4 Sn 0.2500 0.2500 0.7500 (multiplicity 4)  4 Tb 3.18, 4 Ag 3.18

Output
Energy of formation from the pure elements   -0.20 eV per atom


4.
This record from the Alexandria database describes a geometry-optimized RbZn2Br structure. The functional is PBE.

a = 9.6138 Å, b = 9.6138 Å, c = 6.4980 Å
α = 90.00°, β = 90.00°, γ = 90.00°
With the nearest neighbours (Å) after each atom.
Space group I-42d (No. 122)
Unique sites:
1 Rb 0.0000 0.0000 0.0000 (multiplicity 4)  2 Br 3.25
2 Zn 0.2206 0.7500 0.6250 (multiplicity 8)  2 Zn 3.30, 2 Br 3.31
3 Br 0.0000 0.0000 0.5000 (multiplicity 4)  2 Rb 3.25, 4 Zn 3.31

Output
Uncorrected formation energy   -1.1 eV per formula unit


Number 1: D(E_F) 0.5308 states/eV per atom. Number 2: D(E_F) 1.9198 states/eV per atom. Number 3: D(E_F) 0.5247 states/eV per atom. Number 4: D(E_F) 0.0000 states/eV per atom.